Record 1
La2BeAgPd6 | GGA-PBE | optimized geometry

a = 5.8775 Å, b = 5.8775 Å, c = 7.5737 Å
α = 112.64°, β = 112.64°, γ = 60.10°
Fractional coordinates of all 10 atoms:
La 0.2423 0.2423 0.2253
La 0.7577 0.7577 0.7747
Be 0.0000 0.0000 0.5000
Ag 0.5000 0.5000 0.0000
Pd 0.2334 0.7103 0.6793
Pd 0.2339 0.2339 0.6813
Pd 0.2897 0.7666 0.3207
Pd 0.7103 0.2334 0.6793
Pd 0.7661 0.7661 0.3187
Pd 0.7666 0.2897 0.3207

Properties
Total energy   -5.32 eV/atom
Symmetry   C2/m (12)
DFT formation energy   -559 meV per atom

***

Record 2
AcHI | GGA-PBE | optimized geometry

a = 5.0625 Å, b = 5.0625 Å, c = 7.6087 Å
α = 109.35°, β = 109.35°, γ = 89.99°
Fractional coordinates of all 6 atoms:
Ac 0.1636 0.1636 0.3271
Ac 0.8364 0.8364 0.6729
H 0.2504 0.7496 0.5000
H 0.7496 0.2504 0.5000
I 0.0000 0.5000 0.0000
I 0.5000 0.0000 0.0000

Properties
Total energy   -3.68 eV/atom
Symmetry   C2/m (12)

***

Record 3
Pr6AgPt2Br3 | GGA-PBE | optimized geometry

a = 7.4430 Å, b = 7.4430 Å, c = 8.1011 Å
α = 98.85°, β = 98.85°, γ = 119.94°
Fractional coordinates of all 12 atoms:
Pr 0.0788 0.4307 0.7923
Pr 0.2173 0.2173 0.2070
Pr 0.4307 0.0788 0.7923
Pr 0.5693 0.9212 0.2077
Pr 0.7827 0.7827 0.7930
Pr 0.9212 0.5693 0.2077
Ag 0.5000 0.5000 0.0000
Pt 0.1668 0.8332 0.0000
Pt 0.8332 0.1668 0.0000
Br 0.0000 0.0000 0.5000
Br 0.3358 0.6642 0.5000
Br 0.6642 0.3358 0.5000

Properties
Total energy   -5.09 eV/atom
Symmetry   C2/m (12)
ΔE_f (raw)   -1.036 eV per atom

***

Question: What is the formula in the first record?
Answer: La2BeAgPd6

***

Question: What is the formula in the third record?
Answer: Pr6AgPt2Br3

***

Question: Which formula does entry 2 have?
Answer: AcHI

***

Question: The highest total energy belongs to which entry?
Answer: AcHI